Entry 1:
First-principles (PBE) data for CoNiAs2Se after structural relaxation, as listed in the Alexandria database.

a b c (Å): 4.480 4.480 4.921
angles (deg): 90.00 90.00 90.00
Last column: magnetic moment on the atom in μB.
Element x y z (fractional)
Co 0.500 0.500 0.500  1.98
As 0.000 0.500 0.000  -0.05
As 0.500 0.000 0.000  -0.05
Ni 0.000 0.000 0.000  -0.03
Se 0.000 0.000 0.500  0.03

SG   P4/mmm (123)
Formation energy from raw total energies   0.744 eV per atom
Total DFT energy (no corrections)   -4.390 eV/atom
DOS at the Fermi energy   3.9 states/eV/f.u.

***

Entry 2:
First-principles (PBE) data for CoNiAs2Se after structural relaxation, as listed in the Alexandria database.

a b c (Å): 4.371 4.371 5.017
angles (deg): 90.00 90.00 90.00
Last column: magnetic moment on the atom in μB.
Element x y z (fractional)
Co 0.000 0.000 0.000  0.01
As 0.500 0.000 0.000  0.00
As 0.000 0.500 0.000  0.00
Se 0.000 0.000 0.500  0.03
Ni 0.500 0.500 0.500  0.35

SG   P4/mmm (123)
Formation energy from raw total energies   0.630 eV per atom
Total DFT energy (no corrections)   -4.504 eV/atom
DOS at the Fermi energy   4.0 states/eV/f.u.

***

Entry 3:
First-principles (PBE) data for Sm2Co3NiAs4 after structural relaxation, as listed in the Alexandria database.

a b c (Å): 4.143 4.143 9.479
angles (deg): 90.00 90.00 90.00
Last column: magnetic moment on the atom in μB.
Element x y z (fractional)
As 0.000 0.500 0.363  0.01
As 0.000 0.000 0.000  0.00
As 0.500 0.000 0.637  0.01
As 0.500 0.500 0.000  0.00
Co 0.000 0.500 0.115  -0.03
Co 0.500 0.000 0.885  -0.03
Co 0.000 0.000 0.500  0.90
Ni 0.500 0.500 0.500  0.23
Sm 0.500 0.000 0.248  -0.01
Sm 0.000 0.500 0.752  -0.01

SG   P-4m2 (115)
Total DFT energy (no corrections)   -6.272 eV/atom
DOS at the Fermi energy   5.9 states/eV/f.u.
E_form   -759 meV/atom

***

Entry 4:
First-principles (PBE) data for SmCoNiAs2 after structural relaxation, as listed in the Alexandria database.

a b c (Å): 4.051 4.051 5.797
angles (deg): 110.45 110.45 90.00
Last column: magnetic moment on the atom in μB.
Element x y z (fractional)
As 0.368 0.368 0.736  0.00
As 0.632 0.632 0.264  0.00
Sm 0.000 0.000 0.000  0.00
Co 0.250 0.750 0.500  0.45
Ni 0.750 0.250 0.500  0.10

SG   I-4m2 (119)
Total DFT energy (no corrections)   -6.116 eV/atom
DOS at the Fermi energy   4.5 states/eV/f.u.
E_form   -735 meV/atom

***

Entry 5:
First-principles (PBE) data for Tb2Co3NiAs4 after structural relaxation, as listed in the Alexandria database.

a b c (Å): 4.107 4.107 9.441
angles (deg): 90.00 90.00 90.00
Last column: magnetic moment on the atom in μB.
Element x y z (fractional)
Co 0.500 0.000 0.884  -0.03
Co 0.000 0.000 0.500  0.84
Co 0.000 0.500 0.116  -0.03
Tb 0.000 0.500 0.751  -0.01
Tb 0.500 0.000 0.249  -0.01
Ni 0.500 0.500 0.500  0.22
As 0.000 0.000 0.000  0.00
As 0.500 0.500 0.000  0.00
As 0.000 0.500 0.362  0.01
As 0.500 0.000 0.638  0.01

SG   P-4m2 (115)
Total DFT energy (no corrections)   -6.245 eV/atom
DOS at the Fermi energy   6.0 states/eV/f.u.
E_form   -749 meV/atom

***

Entry 6:
First-principles (PBE) data for Th2CoNi3As4 after structural relaxation, as listed in the Alexandria database.

a b c (Å): 4.247 4.247 9.334
angles (deg): 90.00 90.00 90.00
Last column: magnetic moment on the atom in μB.
Element x y z (fractional)
As 0.500 0.000 0.626  0.01
As 0.000 0.500 0.374  0.01
As 0.500 0.500 0.000  0.00
As 0.000 0.000 0.000  0.00
Ni 0.000 0.500 0.120  0.01
Ni 0.500 0.000 0.880  0.01
Ni 0.000 0.000 0.500  0.06
Th 0.000 0.500 0.741  -0.01
Th 0.500 0.000 0.259  -0.01
Co 0.500 0.500 0.500  0.28

SG   P-4m2 (115)
Total DFT energy (no corrections)   -6.593 eV/atom
DOS at the Fermi energy   7.7 states/eV/f.u.
E_form   -804 meV/atom

***

Entry 7:
First-principles (PBE) data for Th2CoNi4As3 after structural relaxation, as listed in the Alexandria database.

a b c (Å): 4.121 4.121 9.634
angles (deg): 90.00 90.00 90.00
Last column: magnetic moment on the atom in μB.
Element x y z (fractional)
As 0.000 0.500 0.130  0.01
As 0.000 0.000 0.500  0.03
As 0.500 0.000 0.870  0.01
Ni 0.000 0.500 0.375  0.19
Ni 0.000 0.000 0.000  0.03
Ni 0.500 0.000 0.625  0.19
Ni 0.500 0.500 0.000  0.03
Th 0.000 0.500 0.750  -0.04
Th 0.500 0.000 0.250  -0.04
Co 0.500 0.500 0.500  1.35

SG   P-4m2 (115)
Total DFT energy (no corrections)   -6.610 eV/atom
DOS at the Fermi energy   11.2 states/eV/f.u.
E_form   -708 meV/atom

***

Entry 8:
First-principles (PBE) data for Y2Co3NiAs4 after structural relaxation, as listed in the Alexandria database.

a b c (Å): 4.102 4.102 9.456
angles (deg): 90.00 90.00 90.00
Last column: magnetic moment on the atom in μB.
Element x y z (fractional)
Co 0.500 0.000 0.883  -0.03
Co 0.000 0.000 0.500  0.83
Co 0.000 0.500 0.117  -0.03
As 0.000 0.500 0.362  0.01
As 0.500 0.500 0.000  0.00
As 0.500 0.000 0.638  0.01
As 0.000 0.000 0.000  0.00
Y 0.000 0.500 0.751  -0.01
Y 0.500 0.000 0.249  -0.01
Ni 0.500 0.500 0.500  0.22

SG   P-4m2 (115)
Total DFT energy (no corrections)   -6.603 eV/atom
DOS at the Fermi energy   6.0 states/eV/f.u.
E_form   -741 meV/atom

***

Entry 9:
First-principles (PBE) data for NpCoAs2 after structural relaxation, as listed in the Alexandria database.

a b c (Å): 3.951 3.951 9.581
angles (deg): 101.90 101.90 90.00
Last column: magnetic moment on the atom in μB.
Element x y z (fractional)
Np 0.882 0.882 0.764  3.45
Np 0.118 0.118 0.236  3.45
Co 0.750 0.250 0.500  0.49
Co 0.250 0.750 0.500  0.49
As 0.322 0.322 0.644  -0.03
As 0.678 0.678 0.356  -0.03
As 0.000 0.500 0.000  -0.07
As 0.500 0.000 0.000  -0.07

SG   I4/mmm (139)
Total DFT energy (no corrections)   -7.834 eV/atom
DOS at the Fermi energy   9.6 states/eV/f.u.
E_form   -498 meV/atom

***

Entry 10:
First-principles (PBE) data for NpCoAs2 after structural relaxation, as listed in the Alexandria database.

a b c (Å): 2.939 2.939 9.493
angles (deg): 81.10 81.10 60.00
Last column: magnetic moment on the atom in μB.
Element x y z (fractional)
Co 0.500 0.500 0.500  0.37
Np 0.000 0.000 0.000  3.42
As 0.894 0.894 0.317  -0.02
As 0.106 0.106 0.683  -0.02

SG   R-3m (166)
Total DFT energy (no corrections)   -7.270 eV/atom
DOS at the Fermi energy   4.2 states/eV/f.u.
E_form   67 meV/atom

***

Entry 11:
First-principles (PBE) data for Np2CoAs3 after structural relaxation, as listed in the Alexandria database.

a b c (Å): 3.950 5.706 6.518
angles (deg): 115.96 107.64 90.00
Last column: magnetic moment on the atom in μB.
Element x y z (fractional)
Np 0.683 0.183 0.365  3.62
Np 0.317 0.817 0.635  3.62
As 0.630 0.630 0.260  -0.08
As 0.370 0.370 0.740  -0.08
As 0.000 0.000 0.000  -0.11
Co 0.000 0.500 0.000  -0.31

SG   Immm (71)
Total DFT energy (no corrections)   -8.125 eV/atom
DOS at the Fermi energy   19.7 states/eV/f.u.
E_form   -302 meV/atom

***

Entry 12:
First-principles (PBE) data for NpCoAs after structural relaxation, as listed in the Alexandria database.

a b c (Å): 3.859 3.637 7.693
angles (deg): 61.79 82.09 90.00
Last column: magnetic moment on the atom in μB.
Element x y z (fractional)
As 0.298 0.387 0.399  -0.01
As 0.677 0.468 0.818  -0.01
Np 0.849 0.072 0.214  0.50
Np 0.126 0.783 0.003  0.50
Co 0.236 0.672 0.614  0.01
Co 0.739 0.184 0.603  0.01

SG   P2_1/m (11)
Total DFT energy (no corrections)   -8.701 eV/atom
DOS at the Fermi energy   4.9 states/eV/f.u.
E_form   -469 meV/atom